Record 1
The following is a DFT calculation (PBE) of a relaxed structure of KMg6BO7.

a b c (Å): 4.4853 4.4853 8.6098
angles (deg): 90.00 90.00 90.00
With the nearest neighbours (Å) after each atom.
Positions (direct):
K1 0.0000 0.0000 0.0000  6 O 2.24-2.37
Mg1 0.0000 0.0000 0.5000  2 O 1.93-1.94
Mg2 0.0000 0.5000 0.2306  3 O 2.03-2.27
Mg3 0.0000 0.5000 0.7581  6 O 2.03-2.27
Mg4 0.5000 0.0000 0.2306  3 O 2.03-2.27
Mg5 0.5000 0.0000 0.7581  6 O 2.03-2.27
Mg6 0.5000 0.5000 0.4919  4 O 2.25
B1 0.5000 0.5000 0.9638  1 O 1.40
O1 0.0000 0.0000 0.2746  1 Mg 1.94
O2 0.0000 0.0000 0.7245  1 Mg 1.93
O3 0.0000 0.5000 0.5050  6 Mg 2.18-2.36
O4 0.0000 0.5000 0.9945  2 Mg 2.03, 2 K 2.24, 2 B 2.26
O5 0.5000 0.0000 0.5050  6 Mg 2.18-2.36
O6 0.5000 0.0000 0.9945  2 Mg 2.03, 2 K 2.24, 2 B 2.26
O7 0.5000 0.5000 0.8012  1 B 1.40

Summary:
ΔE_f (raw): -164 kJ/mol of atoms
Size of the total moment: 0.34 μB/f.u.
Calculated volume: 11.55 Å³/atom
E above lowest polymorph: 0.211 eV per atom



Record 2
The following is a DFT calculation (PBE) of a relaxed structure of K3MgB2O6.

a b c (Å): 5.4430 5.4430 6.7261
angles (deg): 90.00 90.00 120.00
With the nearest neighbours (Å) after each atom.
Positions (direct):
K1 0.0000 0.0000 0.0000  6 O 2.72
K2 0.3333 0.6667 0.7332  6 O 2.74, 1 B 2.86
K3 0.6667 0.3333 0.2668  6 O 2.74, 1 B 2.86
Mg1 0.0000 0.0000 0.5000  6 O 2.18
B1 0.3333 0.6667 0.3087  3 O 1.39
B2 0.6667 0.3333 0.6913  3 O 1.39
O1 0.1863 0.3725 0.3090  1 B 1.39
O2 0.1863 0.8137 0.3090  1 B 1.39
O3 0.3725 0.1863 0.6910  1 B 1.39
O4 0.6275 0.8137 0.3090  1 B 1.39
O5 0.8137 0.1863 0.6910  1 B 1.39
O6 0.8137 0.6275 0.6910  1 B 1.39

Summary:
ΔE_f (raw): -205 kJ/mol of atoms
Size of the total moment: 1.00 μB/f.u.
Calculated volume: 14.38 Å³/atom



Record 3
The following is a DFT calculation (PBE) of a relaxed structure of KMgBO3.

a b c (Å): 6.1602 6.1602 8.0959
angles (deg): 90.00 90.00 151.82
With the nearest neighbours (Å) after each atom.
Positions (direct):
K1 0.2279 0.7721 0.7500  6 O 2.74-2.82, 2 K 3.00, 2 B 3.04
K2 0.7721 0.2279 0.2500  6 O 2.74-2.82, 2 K 3.00, 2 B 3.04
Mg1 0.5000 0.5000 0.0000  6 O 2.07-2.08
Mg2 0.5000 0.5000 0.5000  6 O 2.07-2.08
B1 0.0505 0.9495 0.2500  2 O 1.39
B2 0.9495 0.0505 0.7500  2 O 1.39
O1 0.1019 0.8981 0.0958  1 B 1.39
O2 0.1019 0.8981 0.4042  1 B 1.39
O3 0.4644 0.5356 0.2500  2 B 1.82
O4 0.5356 0.4644 0.7500  2 B 1.82
O5 0.8981 0.1019 0.5958  1 B 1.39
O6 0.8981 0.1019 0.9042  1 B 1.39

Summary:
ΔE_f (raw): -217 kJ/mol of atoms
Size of the total moment: 0.00 μB/f.u.
Calculated volume: 12.09 Å³/atom



Record 4
The following is a DFT calculation (PBE) of a relaxed structure of KMg6BO7.

a b c (Å): 4.6915 4.6915 7.8946
angles (deg): 90.00 90.00 90.00
With the nearest neighbours (Å) after each atom.
Positions (direct):
K1 0.0000 0.0000 0.0000  5 O 2.35-2.62
Mg1 0.0000 0.5000 0.2541  2 O 1.90-2.03
Mg2 0.0000 0.5000 0.7394  2 O 1.93-2.04
Mg3 0.5000 0.0000 0.2541  2 O 1.90-2.03
Mg4 0.5000 0.0000 0.7394  2 O 1.93-2.04
Mg5 0.5000 0.5000 0.4961  2 O 1.98
Mg6 0.5000 0.5000 0.9963  2 O 1.97
B1 0.0000 0.0000 0.4937  1 O 1.38
O1 0.0000 0.0000 0.6682  1 B 1.38
O2 0.0000 0.5000 0.4950  2 Mg 1.90-1.93
O3 0.0000 0.5000 0.9976  2 Mg 2.03-2.04
O4 0.5000 0.0000 0.4950  2 Mg 1.90-1.93
O5 0.5000 0.0000 0.9976  2 Mg 2.03-2.04
O6 0.5000 0.5000 0.2459  2 Mg 1.97-1.98
O7 0.5000 0.5000 0.7465  2 Mg 1.97-1.98

Summary:
ΔE_f (raw): -183 kJ/mol of atoms
Size of the total moment: 0.00 μB/f.u.
Calculated volume: 11.58 Å³/atom
E above lowest polymorph: 0.010 eV per atom